The following is a DFT calculation (PBEsol) of an optimized crystal structure of NaNiF3.

a = 3.013 Å, b = 5.187 Å, c = 7.285 Å
α = 90.00°, β = 90.00°, γ = 106.88°
Fractional coordinates of all 10 atoms:
Ni 0.000 0.000 0.500
Ni 0.000 0.000 0.000
F 0.371 0.743 0.556
F 0.629 0.257 0.056
F 0.371 0.743 0.944
F 0.629 0.257 0.444
F 0.923 0.847 0.250
F 0.077 0.153 0.750
Na 0.253 0.505 0.250
Na 0.747 0.495 0.750

Summary:
Its total energy is -4.75 eV per atom. The raw formation energy comes out at -2.086 eV/atom. The value obtained for the calculated density is 4.23 Mg/m³.